DFT (GGA+U) results for a geometry-optimized MoIrI2O structure.

a b c (Å): 5.7340 5.7340 3.7582
angles (deg): 90.00 90.00 90.00
Closest atoms and distances in Å follow each position.
Atoms (fractional coordinates):
1 I 0.0000 0.5000 0.0000  2 Ir 2.87
2 I 0.5000 0.0000 0.0000  2 Ir 2.87
3 Mo 0.5000 0.5000 0.5000  8 I 3.43, 2 Mo 3.76
4 Ir 0.0000 0.0000 0.0000  2 O 1.88
5 O 0.0000 0.0000 0.5000  2 Ir 1.88

**Space group**: P4/mmm
**Total energy**: -4.536 eV per atom